! meta-GGA SCAN TlZn2I, PBEsol geometry; values from VASP
! Space group: Fm-3m
! Size of the total moment in μB/atom: 0.00
! Calculated volume in Å³ per atom: 26.10
! ρ in g/cm³: 7.35
! Raw formation energy in eV/atom: 0.357
&SYSTEM
  ibrav = 0, nat = 16, ntyp = 3
/
ATOMIC_SPECIES
Tl 204.38 Tl.upf
Zn 65.41 Zn.upf
I 126.90 I.upf
CELL_PARAMETERS angstrom
7.4746 0.0000 0.0000
0.0000 7.4746 0.0000
0.0000 0.0000 7.4746
ATOMIC_POSITIONS angstrom
Tl 0.0000 0.0000 0.0000
Tl 0.0000 3.7373 3.7373
Tl 3.7373 0.0000 3.7373
Tl 3.7373 3.7373 0.0000
Zn 1.8686 1.8686 1.8686
Zn 1.8686 1.8686 5.6059
Zn 1.8686 5.6059 1.8686
Zn 1.8686 5.6059 5.6059
Zn 5.6059 1.8686 1.8686
Zn 5.6059 1.8686 5.6059
Zn 5.6059 5.6059 1.8686
Zn 5.6059 5.6059 5.6059
I 0.0000 0.0000 3.7373
I 0.0000 3.7373 0.0000
I 3.7373 0.0000 0.0000
I 3.7373 3.7373 3.7373


! meta-GGA SCAN WI2, PBEsol geometry; values from VASP
! Space group: Cmce
! Size of the total moment in μB/atom: 0.00
! Calculated volume in Å³ per atom: 35.14
! ρ in g/cm³: 6.89
! Raw formation energy in eV/atom: -0.163
&SYSTEM
  ibrav = 0, nat = 36, ntyp = 2
/
ATOMIC_SPECIES
W 183.84 W.upf
I 126.90 I.upf
CELL_PARAMETERS angstrom
8.0543 -6.2654 0.0000
8.0543 6.2654 0.0000
0.0000 0.0000 12.5339
ATOMIC_POSITIONS angstrom
W 8.0543 5.4199 10.8541
W 1.8803 0.0000 0.0000
W 8.0543 4.5834 0.8449
W 8.0543 1.6820 7.1118
W 6.1740 0.0000 6.2669
W 8.0543 0.8455 4.5872
W 8.0543 -0.8455 7.9467
W 9.9345 0.0000 6.2669
W 8.0543 -1.6820 5.4221
W 8.0543 -4.5834 11.6890
W 14.2283 0.0000 0.0000
W 8.0543 -5.4199 1.6798
I 1.9606 0.8800 9.8831
I 6.0911 3.6150 11.6565
I 8.0543 4.3433 8.1918
I 6.0911 2.6504 5.3896
I 1.9606 -0.8800 2.6508
I 3.3713 0.0000 6.2669
I 4.6830 0.0000 0.0000
I 6.0937 0.8800 8.9177
I 10.0175 3.6150 11.6565
I 8.0543 1.9221 1.9249
I 10.0175 2.6504 5.3896
I 6.0937 -0.8800 3.6162
I 10.0149 0.8800 8.9177
I 6.0911 -2.6504 7.1443
I 8.0543 -1.9221 10.6090
I 6.0911 -3.6150 0.8773
I 10.0149 -0.8800 3.6162
I 11.4256 0.0000 0.0000
I 12.7373 0.0000 6.2669
I 14.1480 0.8800 9.8831
I 10.0175 -2.6504 7.1443
I 8.0543 -4.3433 4.3421
I 10.0175 -3.6150 0.8773
I 14.1480 -0.8800 2.6508


! meta-GGA SCAN ZnWI2, PBEsol geometry; values from VASP
! Space group: Fm-3m
! Size of the total moment in μB/atom: 0.00
! Calculated volume in Å³ per atom: 20.10
! ρ in g/cm³: 10.39
! Raw formation energy in eV/atom: 1.289
&SYSTEM
  ibrav = 0, nat = 16, ntyp = 3
/
ATOMIC_SPECIES
Zn 65.41 Zn.upf
W 183.84 W.upf
I 126.90 I.upf
CELL_PARAMETERS angstrom
6.8517 0.0000 0.0000
0.0000 6.8517 0.0000
0.0000 0.0000 6.8517
ATOMIC_POSITIONS angstrom
Zn 0.0000 0.0000 0.0000
Zn 0.0000 3.4259 3.4259
Zn 3.4259 0.0000 3.4259
Zn 3.4259 3.4259 0.0000
W 0.0000 0.0000 3.4259
W 0.0000 3.4259 0.0000
W 3.4259 0.0000 0.0000
W 3.4259 3.4259 3.4259
I 1.7129 1.7129 1.7129
I 1.7129 1.7129 5.1388
I 1.7129 5.1388 1.7129
I 1.7129 5.1388 5.1388
I 5.1388 1.7129 1.7129
I 5.1388 1.7129 5.1388
I 5.1388 5.1388 1.7129
I 5.1388 5.1388 5.1388


! meta-GGA SCAN Zn3WI, PBEsol geometry; values from VASP
! Space group: Pm-3m
! Size of the total moment in μB/atom: 0.93
! Calculated volume in Å³ per atom: 27.21
! ρ in g/cm³: 6.19
! Raw formation energy in eV/atom: 2.175
&SYSTEM
  ibrav = 0, nat = 5, ntyp = 3
/
ATOMIC_SPECIES
Zn 65.41 Zn.upf
W 183.84 W.upf
I 126.90 I.upf
CELL_PARAMETERS angstrom
5.1433 0.0000 0.0000
0.0000 5.1433 0.0000
0.0000 0.0000 5.1433
ATOMIC_POSITIONS angstrom
Zn 0.0000 0.0000 2.5717
Zn 0.0000 2.5717 0.0000
Zn 2.5717 0.0000 0.0000
W 2.5717 2.5717 2.5717
I 0.0000 0.0000 0.0000


! meta-GGA SCAN Zn2WI2, PBEsol geometry; values from VASP
! Space group: I4/mmm
! Size of the total moment in μB/atom: 0.76
! Calculated volume in Å³ per atom: 24.21
! ρ in g/cm³: 7.80
! Raw formation energy in eV/atom: 1.171
&SYSTEM
  ibrav = 0, nat = 10, ntyp = 3
/
ATOMIC_SPECIES
Zn 65.41 Zn.upf
W 183.84 W.upf
I 126.90 I.upf
CELL_PARAMETERS angstrom
5.6388 0.0000 0.0000
0.0000 5.6388 0.0000
0.0000 0.0000 7.6130
ATOMIC_POSITIONS angstrom
Zn 0.0000 0.0000 1.1687
Zn 0.0000 0.0000 6.4443
Zn 2.8194 2.8194 2.6378
Zn 2.8194 2.8194 4.9752
W 0.0000 0.0000 3.8065
W 2.8194 2.8194 0.0000
I 0.0000 2.8194 1.9032
I 0.0000 2.8194 5.7097
I 2.8194 0.0000 1.9032
I 2.8194 0.0000 5.7097


! meta-GGA SCAN ZrWI2, PBEsol geometry; values from VASP
! Space group: Fm-3m
! Size of the total moment in μB/atom: 0.49
! Calculated volume in Å³ per atom: 20.19
! ρ in g/cm³: 10.87
! Raw formation energy in eV/atom: 0.977
&SYSTEM
  ibrav = 0, nat = 16, ntyp = 3
/
ATOMIC_SPECIES
Zr 91.22 Zr.upf
W 183.84 W.upf
I 126.90 I.upf
CELL_PARAMETERS angstrom
6.8620 0.0000 0.0000
0.0000 6.8620 0.0000
0.0000 0.0000 6.8620
ATOMIC_POSITIONS angstrom
Zr 0.0000 0.0000 0.0000
Zr 0.0000 3.4310 3.4310
Zr 3.4310 0.0000 3.4310
Zr 3.4310 3.4310 0.0000
W 0.0000 0.0000 3.4310
W 0.0000 3.4310 0.0000
W 3.4310 0.0000 0.0000
W 3.4310 3.4310 3.4310
I 1.7155 1.7155 1.7155
I 1.7155 1.7155 5.1465
I 1.7155 5.1465 1.7155
I 1.7155 5.1465 5.1465
I 5.1465 1.7155 1.7155
I 5.1465 1.7155 5.1465
I 5.1465 5.1465 1.7155
I 5.1465 5.1465 5.1465


! meta-GGA SCAN Zr3WI, PBEsol geometry; values from VASP
! Space group: Pm-3m
! Size of the total moment in μB/atom: 0.00
! Calculated volume in Å³ per atom: 26.44
! ρ in g/cm³: 7.34
! Raw formation energy in eV/atom: 0.756
&SYSTEM
  ibrav = 0, nat = 5, ntyp = 3
/
ATOMIC_SPECIES
Zr 91.22 Zr.upf
W 183.84 W.upf
I 126.90 I.upf
CELL_PARAMETERS angstrom
5.0941 0.0000 0.0000
0.0000 5.0941 0.0000
0.0000 0.0000 5.0941
ATOMIC_POSITIONS angstrom
Zr 0.0000 0.0000 2.5470
Zr 0.0000 2.5470 0.0000
Zr 2.5470 0.0000 0.0000
W 0.0000 0.0000 0.0000
I 2.5470 2.5470 2.5470


! meta-GGA SCAN YZn3I, PBEsol geometry; values from VASP
! Space group: Pm-3m
! Size of the total moment in μB/atom: 0.00
! Calculated volume in Å³ per atom: 27.72
! ρ in g/cm³: 4.94
! Raw formation energy in eV/atom: 0.875
&SYSTEM
  ibrav = 0, nat = 5, ntyp = 3
/
ATOMIC_SPECIES
Y 88.91 Y.upf
Zn 65.41 Zn.upf
I 126.90 I.upf
CELL_PARAMETERS angstrom
5.1749 0.0000 0.0000
0.0000 5.1749 0.0000
0.0000 0.0000 5.1749
ATOMIC_POSITIONS angstrom
Y 0.0000 0.0000 0.0000
Zn 0.0000 2.5874 2.5874
Zn 2.5874 0.0000 2.5874
Zn 2.5874 2.5874 0.0000
I 2.5874 2.5874 2.5874


Please write out number 4 again, unchanged.
! meta-GGA SCAN Zn3WI, PBEsol geometry; values from VASP
! Space group: Pm-3m
! Size of the total moment in μB/atom: 0.93
! Calculated volume in Å³ per atom: 27.21
! ρ in g/cm³: 6.19
! Raw formation energy in eV/atom: 2.175
&SYSTEM
  ibrav = 0, nat = 5, ntyp = 3
/
ATOMIC_SPECIES
Zn 65.41 Zn.upf
W 183.84 W.upf
I 126.90 I.upf
CELL_PARAMETERS angstrom
5.1433 0.0000 0.0000
0.0000 5.1433 0.0000
0.0000 0.0000 5.1433
ATOMIC_POSITIONS angstrom
Zn 0.0000 0.0000 2.5717
Zn 0.0000 2.5717 0.0000
Zn 2.5717 0.0000 0.0000
W 2.5717 2.5717 2.5717
I 0.0000 0.0000 0.0000


Among the records above, which one has the lowest calculated volume? ZnWI2


The lowest raw formation energy belongs to which entry? WI2


Look up the size of the total moment of the eighth one. 0.00 μB/atom